[1]
This record from the Alexandria database describes a geometry-optimized Li3Pr2GaCu12 structure. The functional is GGA-PBE.

As for the calculated formation energy: 26 meV/atom. As for the energy: -3.72 eV/atom. The density of states at the Fermi level is 10.10 states/eV/f.u.

The structure belongs to space group R-3m (No. 166, hexagonal axes); the cell edges are 8.7177, 8.7177 and 12.6005 Å and the angles 90.00°, 90.00° and 120.00°. The distinct sites, in fractional coordinates, are Li at (0.0000, 0.5000, 0.0000), Pr at (0.0000, 0.0000, 0.2252), Ga at (0.0000, 0.0000, 0.5000), Cu at (0.0245, 0.5122, 0.2131) and Cu at (0.0576, 0.5288, 0.6003).



[2]
This record from the Alexandria database describes a geometry-optimized LiPrGa4Cu2 structure. The functional is GGA-PBE.

As for the calculated formation energy: -346 meV/atom. As for the energy: -3.72 eV/atom. The density of states at the Fermi level is 2.13 states/eV/f.u.

The structure belongs to space group R-3m (No. 166, hexagonal axes); the cell edges are 4.2393, 4.2393 and 26.5795 Å and the angles 90.00°, 90.00° and 120.00°. The distinct sites, in fractional coordinates, are Li at (0.0000, 0.0000, 0.0000), Pr at (0.0000, 0.0000, 0.5000), Ga at (0.0000, 0.0000, 0.0973), Ga at (0.0000, 0.0000, 0.3732) and Cu at (0.0000, 0.0000, 0.2704).



[3]
This record from the Alexandria database describes a geometry-optimized LiGaCuPt structure. The functional is GGA-PBE.

As for the calculated formation energy: -522 meV/atom. As for the energy: -4.29 eV/atom. The density of states at the Fermi level is 0.88 states/eV/f.u.

The structure belongs to space group F-43m (No. 216); the cell edges are 6.0437, 6.0437 and 6.0437 Å and the angles 90.00°, 90.00° and 90.00°. The distinct sites, in fractional coordinates, are Li at (0.0000, 0.0000, 0.0000), Ga at (0.2500, 0.2500, 0.2500), Cu at (0.2500, 0.2500, 0.7500) and Pt at (0.0000, 0.0000, 0.5000).



[4]
This record from the Alexandria database describes a geometry-optimized LiGaCuPt structure. The functional is GGA-PBE.

As for the calculated formation energy: -521 meV/atom. As for the energy: -4.29 eV/atom. The density of states at the Fermi level is 1.42 states/eV/f.u.

The structure belongs to space group I-4m2 (No. 119); the cell edges are 3.8088, 3.8088 and 7.4990 Å and the angles 90.00°, 90.00° and 90.00°. The distinct sites, in fractional coordinates, are Li at (0.0000, 0.0000, 0.0000), Ga at (0.0000, 0.5000, 0.7500), Cu at (0.0000, 0.5000, 0.2500) and Pt at (0.0000, 0.0000, 0.5000).



> What is the energy in the fourth record?

-4.29 eV/atom



> Number 3 is which compound?

LiGaCuPt



What did the second record say?
This record from the Alexandria database describes a geometry-optimized LiPrGa4Cu2 structure. The functional is GGA-PBE.

As for the calculated formation energy: -346 meV/atom. As for the energy: -3.72 eV/atom. The density of states at the Fermi level is 2.13 states/eV/f.u.

The structure belongs to space group R-3m (No. 166, hexagonal axes); the cell edges are 4.2393, 4.2393 and 26.5795 Å and the angles 90.00°, 90.00° and 120.00°. The distinct sites, in fractional coordinates, are Li at (0.0000, 0.0000, 0.0000), Pr at (0.0000, 0.0000, 0.5000), Ga at (0.0000, 0.0000, 0.0973), Ga at (0.0000, 0.0000, 0.3732) and Cu at (0.0000, 0.0000, 0.2704).



What did the first record say?
This record from the Alexandria database describes a geometry-optimized Li3Pr2GaCu12 structure. The functional is GGA-PBE.

As for the calculated formation energy: 26 meV/atom. As for the energy: -3.72 eV/atom. The density of states at the Fermi level is 10.10 states/eV/f.u.

The structure belongs to space group R-3m (No. 166, hexagonal axes); the cell edges are 8.7177, 8.7177 and 12.6005 Å and the angles 90.00°, 90.00° and 120.00°. The distinct sites, in fractional coordinates, are Li at (0.0000, 0.5000, 0.0000), Pr at (0.0000, 0.0000, 0.2252), Ga at (0.0000, 0.0000, 0.5000), Cu at (0.0245, 0.5122, 0.2131) and Cu at (0.0576, 0.5288, 0.6003).